Entry 1:
{
  "formula": "AlFeRe2",
  "functional": "PBEsol",
  "state": "relaxed",
  "rho_g_cm3": 13.82,
  "dos_at_fermi_per_ev_cell": 6.11,
  "formation_energy_mev_per_atom": 90,
  "lattice": [[3.008, 0.000, 0.000], [0.000, 4.357, 0.000], [0.000, 0.000, 8.344]],
  "species": ["Al", "Al", "Fe", "Fe", "Re", "Re", "Re", "Re"],
  "frac_coords": [[0.000, 0.000, 0.000], [0.500, 0.500, 0.000], [0.000, 0.500, 0.232], [0.500, 0.000, 0.232], [0.000, 0.000, 0.475], [0.000, 0.500, 0.738], [0.500, 0.000, 0.738], [0.500, 0.500, 0.475]]
}

Entry 2:
{
  "formula": "AlFe2Re",
  "functional": "PBEsol",
  "state": "relaxed",
  "rho_g_cm3": 10.81,
  "dos_at_fermi_per_ev_cell": 8.39,
  "formation_energy_mev_per_atom": -3,
  "lattice": [[5.068, 0.000, 0.000], [0.000, 7.913, 0.000], [-0.677, 0.000, 2.490]],
  "species": ["Al", "Al", "Fe", "Fe", "Fe", "Fe", "Re", "Re"],
  "frac_coords": [[0.000, 0.000, 0.000], [0.500, 0.500, 0.000], [0.250, 0.250, 0.500], [0.250, 0.750, 0.500], [0.750, 0.250, 0.500], [0.750, 0.750, 0.500], [0.000, 0.500, 0.000], [0.500, 0.000, 0.000]]
}

Entry 3:
{
  "formula": "AlFe2Re",
  "functional": "PBEsol",
  "state": "relaxed",
  "rho_g_cm3": 11.48,
  "dos_at_fermi_per_ev_cell": 4.15,
  "formation_energy_mev_per_atom": -215,
  "lattice": [[2.745, 0.000, 0.000], [0.000, 2.745, 0.000], [0.000, 0.000, 6.236]],
  "species": ["Al", "Fe", "Fe", "Re"],
  "frac_coords": [[0.000, 0.000, 0.000], [0.500, 0.500, 0.240], [0.500, 0.500, 0.760], [0.000, 0.000, 0.500]]
}

Entry 4:
{
  "formula": "AlFe2Re",
  "functional": "PBEsol",
  "state": "relaxed",
  "rho_g_cm3": 11.25,
  "dos_at_fermi_per_ev_cell": 4.18,
  "formation_energy_mev_per_atom": -98,
  "lattice": [[4.141, 0.000, 0.000], [0.000, 4.141, 0.000], [0.000, 0.000, 2.796]],
  "species": ["Al", "Fe", "Fe", "Re"],
  "frac_coords": [[0.000, 0.000, 0.000], [0.000, 0.500, 0.500], [0.500, 0.000, 0.500], [0.500, 0.500, 0.000]]
}

Entry 5:
{
  "formula": "AlFeRe",
  "functional": "PBEsol",
  "state": "relaxed",
  "rho_g_cm3": 11.90,
  "dos_at_fermi_per_ev_cell": 3.46,
  "formation_energy_mev_per_atom": -241,
  "lattice": [[2.774, 0.000, 0.000], [0.000, 2.774, 0.000], [0.000, 0.000, 9.763]],
  "species": ["Al", "Al", "Fe", "Fe", "Re", "Re"],
  "frac_coords": [[0.000, 0.000, 0.000], [0.500, 0.500, 0.500], [0.000, 0.000, 0.654], [0.500, 0.500, 0.154], [0.000, 0.000, 0.312], [0.500, 0.500, 0.812]]
}

Entry 6:
{
  "formula": "AlFeRh3",
  "functional": "PBEsol",
  "state": "relaxed",
  "rho_g_cm3": 7.79,
  "dos_at_fermi_per_ev_cell": 7.89,
  "formation_energy_mev_per_atom": 892,
  "lattice": [[4.371, 0.000, 0.000], [0.000, 4.371, 0.000], [0.000, 0.000, 4.371]],
  "species": ["Al", "Fe", "Rh", "Rh", "Rh"],
  "frac_coords": [[0.000, 0.000, 0.000], [0.500, 0.500, 0.500], [0.000, 0.500, 0.500], [0.500, 0.000, 0.500], [0.500, 0.500, 0.000]]
}

Entry 7:
{
  "formula": "AlFe2Rh",
  "functional": "PBEsol",
  "state": "relaxed",
  "rho_g_cm3": 8.23,
  "dos_at_fermi_per_ev_cell": 2.64,
  "formation_energy_mev_per_atom": -342,
  "lattice": [[2.898, 0.000, 0.000], [0.000, 4.011, 0.000], [0.000, 0.000, 4.192]],
  "species": ["Al", "Fe", "Fe", "Rh"],
  "frac_coords": [[0.000, 0.000, 0.000], [0.000, 0.500, 0.500], [0.500, 0.000, 0.500], [0.500, 0.500, 0.000]]
}

Entry 8:
{
  "formula": "AlFe2Rh",
  "functional": "PBEsol",
  "state": "relaxed",
  "rho_g_cm3": 8.13,
  "dos_at_fermi_per_ev_cell": 3.33,
  "formation_energy_mev_per_atom": -196,
  "lattice": [[2.626, 0.000, 0.000], [0.000, 3.730, 0.000], [0.000, 0.000, 5.036]],
  "species": ["Al", "Fe", "Fe", "Rh"],
  "frac_coords": [[0.000, 0.000, 0.000], [0.500, 0.500, 0.245], [0.500, 0.500, 0.755], [0.000, 0.000, 0.500]]
}